VASP calculation (PBE-GGA) on Sm2GdTl after structural relaxation.

abc: 4.9018 4.9349 4.9349
angles: 90.00 90.00 90.00
With the nearest neighbours (Å) after each atom.
Atoms (fractional coordinates):
1 Sm 0.0000 0.5000 0.0000  4 Tl 3.48, 4 Gd 3.48, 4 Sm 3.49
2 Sm 0.0000 0.0000 0.5000  4 Gd 3.48, 4 Tl 3.48, 4 Sm 3.49
3 Gd 0.5000 0.5000 0.5000  8 Sm 3.48, 4 Tl 3.49
4 Tl 0.5000 0.0000 0.0000  8 Sm 3.48, 4 Gd 3.49

Volume   119 Å³/f.u.
Energy of formation from the pure elements   -0.9 eV per formula unit
Distance to the lowest polymorph of the same formula   0.0000 eV/atom
Calculated total energy   -26.7 eV for the cell shown

---

VASP calculation (PBE-GGA) on MgPdAu2 after structural relaxation.

abc: 4.0804 4.0804 4.9996
angles: 114.08 114.08 90.00
With the nearest neighbours (Å) after each atom.
Atoms (fractional coordinates):
1 Pd 0.2500 0.7500 0.5000  8 Au 2.89, 4 Mg 2.89
2 Mg 0.0000 0.0000 0.0000  8 Au 2.89, 4 Pd 2.89
3 Au 0.7500 0.2500 0.5000  4 Pd 2.89, 4 Mg 2.89, 4 Au 2.89
4 Au 0.5000 0.5000 0.0000  4 Mg 2.89, 4 Pd 2.89, 4 Au 2.89

Volume   68 Å³/f.u.
Energy of formation from the pure elements   -2.0 eV per formula unit
Calculated total energy   -15.3 eV for the cell shown

---

VASP calculation (PBE-GGA) on TeRhSeN2 after structural relaxation.

abc: 3.8811 3.8811 5.8849
angles: 90.00 90.00 90.00
With the nearest neighbours (Å) after each atom.
Atoms (fractional coordinates):
1 Rh 0.0000 0.0000 0.0000  4 N 1.94
2 N 0.0000 0.5000 0.0000  2 Rh 1.94
3 N 0.5000 0.0000 0.0000  2 Rh 1.94
4 Te 0.5000 0.5000 0.5000  4 Se 2.74
5 Se 0.0000 0.0000 0.5000  4 Te 2.74, 2 Rh 2.94

Volume   89 Å³/f.u.
Distance to the lowest polymorph of the same formula   0.0684 eV/atom
Calculated total energy   -25.2 eV for the cell shown

---

VASP calculation (PBE-GGA) on ReOsS2Cl after structural relaxation.

abc: 4.6229 4.6229 4.8230
angles: 90.00 90.00 90.00
With the nearest neighbours (Å) after each atom.
Atoms (fractional coordinates):
1 Os 0.0000 0.0000 0.0000  4 S 2.31, 2 Cl 2.41
2 Cl 0.0000 0.0000 0.5000  2 Os 2.41
3 S 0.5000 0.0000 0.0000  2 Os 2.31
4 S 0.0000 0.5000 0.0000  2 Os 2.31
5 Re 0.5000 0.5000 0.5000  4 Cl 3.27, 8 S 3.34

Volume   103 Å³/f.u.
Distance to the lowest polymorph of the same formula   0.0000 eV/atom
Calculated total energy   -26.9 eV for the cell shown